[1]
## AgCl (GGA-PBEsol)

Data for an optimized crystal structure of AgCl.

a = 3.6646 Å, b = 11.0855 Å, c = 6.1703 Å
α = 90.00°, β = 90.00°, γ = 90.00°
Last column: nearest neighbours and their distance in Å.
Space group Imm2 (No. 44)
Unique sites:
Ag: 0.0000 0.0000 0.0000 [2 per cell]  6 Cl 2.74-2.82, 2 Ag 2.99
Ag: 0.0000 0.1284 0.4264 [4 per cell]  5 Cl 2.56-2.71, 1 Ag 2.85
Cl: 0.0000 0.3305 0.6262 [4 per cell]  5 Ag 2.56-2.74
Cl: 0.0000 0.5000 0.1519 [2 per cell]  6 Ag 2.71-2.82

Calculated values
**Formation energy without anion corrections**: -365 meV/atom

---

[2]
## AgCl (GGA-PBEsol)

Data for an optimized crystal structure of AgCl.

a = 4.0961 Å, b = 5.0368 Å, c = 4.1231 Å
α = 90.00°, β = 103.86°, γ = 90.00°
Last column: nearest neighbours and their distance in Å.
Space group P2_1/m (No. 11)
Unique sites:
Ag: 0.1107 0.2500 0.3852 [2 per cell]  5 Cl 2.61-2.77, 2 Ag 2.91
Cl: 0.2918 0.7500 0.2094 [2 per cell]  5 Ag 2.61-2.77

Calculated values
**Formation energy without anion corrections**: -365 meV/atom

---

[3]
## AgCl3 (GGA-PBEsol)

Data for an optimized crystal structure of AgCl3.

a = 2.9553 Å, b = 2.9553 Å, c = 10.0507 Å
α = 90.00°, β = 90.00°, γ = 90.00°
Last column: nearest neighbours and their distance in Å.
Space group P4/mmm (No. 123)
Unique sites:
Ag: 0.0000 0.0000 0.0000 [1 per cell]  8 Cl 2.75, 4 Ag 2.96
Cl: 0.0000 0.0000 0.5000 [1 per cell]  4 Cl 2.96
Cl: 0.5000 0.5000 0.1784 [2 per cell]  4 Ag 2.75, 4 Cl 2.96

Calculated values
**Formation energy without anion corrections**: 174 meV/atom

---

no.,total energy (Ha/atom),density (Mg/m³)
1,-0.111,5.70
2,-0.111,5.76
3,-0.079,4.05